This record from the Alexandria database describes a geometry-optimized Th4Mg structure. The functional is PBE.

Computed properties:
Energy above the lowest structure with this stoichiometry, meV per atom: 827
Crystal system: cubic
Symmetry: Pm-3m (221)

Cell and atoms, written as CIF:
```
data_Th4Mg
_chemical_formula_sum 'Th4 Mg1'
_symmetry_space_group_name_H-M 'P 1'
_symmetry_Int_Tables_number 1
_cell_length_a 5.616
_cell_length_b 5.616
_cell_length_c 5.616
_cell_angle_alpha 90.00
_cell_angle_beta 90.00
_cell_angle_gamma 90.00
loop_
_symmetry_equiv_pos_as_xyz
'x,y,z'
loop_
_atom_site_label
_atom_site_type_symbol
_atom_site_fract_x
_atom_site_fract_y
_atom_site_fract_z
Th1 Th 0.000 0.000 0.000
Th2 Th 0.000 0.500 0.500
Th3 Th 0.500 0.000 0.500
Th4 Th 0.500 0.500 0.000
Mg1 Mg 0.500 0.500 0.500
```

***

This record from the Alexandria database describes a geometry-optimized Th3Mg structure. The functional is PBE.

Computed properties:
E, eV/atom: -5.894
Crystal system: cubic
Symmetry: Pm-3m (221)

Cell and atoms, written as CIF:
```
data_Th3Mg
_chemical_formula_sum 'Th3 Mg1'
_symmetry_space_group_name_H-M 'P 1'
_symmetry_Int_Tables_number 1
_cell_length_a 4.964
_cell_length_b 4.964
_cell_length_c 4.964
_cell_angle_alpha 90.00
_cell_angle_beta 90.00
_cell_angle_gamma 90.00
loop_
_symmetry_equiv_pos_as_xyz
'x,y,z'
loop_
_atom_site_label
_atom_site_type_symbol
_atom_site_fract_x
_atom_site_fract_y
_atom_site_fract_z
Th1 Th 0.000 0.000 0.500
Th2 Th 0.000 0.500 0.000
Th3 Th 0.500 0.000 0.000
Mg1 Mg 0.500 0.500 0.500
```

***

This record from the Alexandria database describes a geometry-optimized Th2Mg3 structure. The functional is PBE.

Computed properties:
E, eV/atom: -3.840
Crystal system: trigonal
Symmetry: R-3m (166)

Cell and atoms, written as CIF:
```
data_Th2Mg3
_chemical_formula_sum 'Th2 Mg3'
_symmetry_space_group_name_H-M 'P 1'
_symmetry_Int_Tables_number 1
_cell_length_a 14.321
_cell_length_b 14.321
_cell_length_c 14.321
_cell_angle_alpha 13.47
_cell_angle_beta 13.47
_cell_angle_gamma 13.47
loop_
_symmetry_equiv_pos_as_xyz
'x,y,z'
loop_
_atom_site_label
_atom_site_type_symbol
_atom_site_fract_x
_atom_site_fract_y
_atom_site_fract_z
Th1 Th 0.204 0.204 0.204
Th2 Th 0.796 0.796 0.796
Mg1 Mg 0.000 0.000 0.000
Mg2 Mg 0.394 0.394 0.394
Mg3 Mg 0.606 0.606 0.606
```

***

This record from the Alexandria database describes a geometry-optimized ThMg3 structure. The functional is PBE.

Computed properties:
E, eV/atom: -2.940
Crystal system: monoclinic
Symmetry: C2/m (12)

Cell and atoms, written as CIF:
```
data_ThMg3
_chemical_formula_sum 'Th1 Mg3'
_symmetry_space_group_name_H-M 'P 1'
_symmetry_Int_Tables_number 1
_cell_length_a 5.611
_cell_length_b 5.611
_cell_length_c 6.142
_cell_angle_alpha 100.42
_cell_angle_beta 100.42
_cell_angle_gamma 33.95
loop_
_symmetry_equiv_pos_as_xyz
'x,y,z'
loop_
_atom_site_label
_atom_site_type_symbol
_atom_site_fract_x
_atom_site_fract_y
_atom_site_fract_z
Th1 Th 0.000 0.000 0.000
Mg1 Mg 0.241 0.241 0.723
Mg2 Mg 0.500 0.500 0.500
Mg3 Mg 0.759 0.759 0.277
```

***

This record from the Alexandria database describes a geometry-optimized ThMg11 structure. The functional is PBE.

Computed properties:
E, eV/atom: -2.053
Crystal system: hexagonal
Symmetry: P6/mmm (191)

Cell and atoms, written as CIF:
```
data_ThMg11
_chemical_formula_sum 'Th1 Mg11'
_symmetry_space_group_name_H-M 'P 1'
_symmetry_Int_Tables_number 1
_cell_length_a 10.220
_cell_length_b 10.220
_cell_length_c 3.202
_cell_angle_alpha 90.00
_cell_angle_beta 90.00
_cell_angle_gamma 120.00
loop_
_symmetry_equiv_pos_as_xyz
'x,y,z'
loop_
_atom_site_label
_atom_site_type_symbol
_atom_site_fract_x
_atom_site_fract_y
_atom_site_fract_z
Th1 Th 0.000 0.000 0.000
Mg1 Mg 0.000 0.500 0.000
Mg2 Mg 0.177 0.354 0.500
Mg3 Mg 0.177 0.823 0.500
Mg4 Mg 0.333 0.667 0.000
Mg5 Mg 0.354 0.177 0.500
Mg6 Mg 0.500 0.000 0.000
Mg7 Mg 0.500 0.500 0.000
Mg8 Mg 0.646 0.823 0.500
Mg9 Mg 0.667 0.333 0.000
Mg10 Mg 0.823 0.177 0.500
Mg11 Mg 0.823 0.646 0.500
```

***

This record from the Alexandria database describes a geometry-optimized Th3Mg structure. The functional is PBE.

Computed properties:
E, eV/atom: -5.878
Crystal system: orthorhombic
Symmetry: Imm2 (44)

Cell and atoms, written as CIF:
```
data_Th3Mg
_chemical_formula_sum 'Th3 Mg1'
_symmetry_space_group_name_H-M 'P 1'
_symmetry_Int_Tables_number 1
_cell_length_a 6.715
_cell_length_b 6.715
_cell_length_c 6.715
_cell_angle_alpha 149.64
_cell_angle_beta 63.28
_cell_angle_gamma 125.93
loop_
_symmetry_equiv_pos_as_xyz
'x,y,z'
loop_
_atom_site_label
_atom_site_type_symbol
_atom_site_fract_x
_atom_site_fract_y
_atom_site_fract_z
Th1 Th 0.000 0.000 0.000
Th2 Th 0.412 0.652 0.760
Th3 Th 0.892 0.652 0.240
Mg1 Mg 0.480 0.980 0.500
```

***

This record from the Alexandria database describes a geometry-optimized Th3Mg structure. The functional is PBE.

Computed properties:
E, eV/atom: -5.791
Crystal system: cubic
Symmetry: Fm-3m (225)

Cell and atoms, written as CIF:
```
data_Th3Mg
_chemical_formula_sum 'Th3 Mg1'
_symmetry_space_group_name_H-M 'P 1'
_symmetry_Int_Tables_number 1
_cell_length_a 5.586
_cell_length_b 5.586
_cell_length_c 5.586
_cell_angle_alpha 60.00
_cell_angle_beta 60.00
_cell_angle_gamma 60.00
loop_
_symmetry_equiv_pos_as_xyz
'x,y,z'
loop_
_atom_site_label
_atom_site_type_symbol
_atom_site_fract_x
_atom_site_fract_y
_atom_site_fract_z
Th1 Th 0.000 0.000 0.000
Th2 Th 0.250 0.250 0.250
Th3 Th 0.750 0.750 0.750
Mg1 Mg 0.500 0.500 0.500
```

***

This record from the Alexandria database describes a geometry-optimized Th2Mg structure. The functional is PBE.

Computed properties:
Energy above the lowest structure with this stoichiometry, meV per atom: 388
Crystal system: cubic
Symmetry: Fd-3m (227)

Cell and atoms, written as CIF:
```
data_Th2Mg
_chemical_formula_sum 'Th4 Mg2'
_symmetry_space_group_name_H-M 'P 1'
_symmetry_Int_Tables_number 1
_cell_length_a 6.564
_cell_length_b 6.564
_cell_length_c 6.564
_cell_angle_alpha 60.00
_cell_angle_beta 60.00
_cell_angle_gamma 60.00
loop_
_symmetry_equiv_pos_as_xyz
'x,y,z'
loop_
_atom_site_label
_atom_site_type_symbol
_atom_site_fract_x
_atom_site_fract_y
_atom_site_fract_z
Th1 Th 0.000 0.000 0.000
Th2 Th 0.000 0.000 0.500
Th3 Th 0.000 0.500 0.000
Th4 Th 0.500 0.000 0.000
Mg1 Mg 0.375 0.375 0.375
Mg2 Mg 0.625 0.625 0.625
```